Record 1
Here is a geometry-optimized CsCdPb structure from the Alexandria database. Energies are from GGA-PBE.

```
CsCdPb
1.0
-2.122 2.122 6.979
2.122 -2.122 6.979
2.122 2.122 -6.979
Cs Cd Pb
1 1 1
Direct
0.000 0.000 0.000 Cs
0.720 0.720 0.000 Cd
0.283 0.283 0.000 Pb
```

Values from the calculation:
Volume = 126 Å³ per cell
Total magnetic moment = 0.0 μB/cell
Space group = I4mm
Formation energy from the elements = -0.01 eV/atom
Excess energy over the best structure of this formula in the dataset = 0.087 eV per atom

Record 2
Here is a geometry-optimized La2CrPt structure from the Alexandria database. Energies are from GGA-PBE.

```
La2CrPt
1.0
2.183 1.261 6.860
-2.183 1.261 6.860
0.000 -2.521 6.860
La Cr Pt
2 1 1
Direct
0.000 0.000 0.000 La
0.187 0.187 0.187 La
0.424 0.424 0.424 Cr
0.763 0.763 0.763 Pt
```

Values from the calculation:
Volume = 113 Å³ per cell
Total magnetic moment = 2.1 μB/cell
Space group = R3m
Formation energy from the elements = -0.28 eV/atom
Excess energy over the best structure of this formula in the dataset = 0.058 eV per atom

Record 3
Here is a geometry-optimized TaCrAu2 structure from the Alexandria database. Energies are from GGA-PBE.

```
TaCrAu2
1.0
4.829 -1.497 0.000
4.829 1.497 0.000
-0.969 0.000 4.684
Ta Cr Au
1 1 2
Direct
0.000 0.000 0.000 Ta
0.500 0.500 0.500 Cr
0.249 0.249 0.748 Au
0.751 0.751 0.252 Au
```

Values from the calculation:
Volume = 68 Å³ per cell
Total magnetic moment = 2.3 μB/cell
Space group = C2/m
Formation energy from the elements = 0.24 eV/atom
Excess energy over the best structure of this formula in the dataset = 0.155 eV per atom

Record 4
Here is a geometry-optimized RePt2RhBr structure from the Alexandria database. Energies are from GGA-PBE.

```
RePt2RhBr
1.0
4.864 0.000 0.000
0.000 4.864 0.000
0.000 0.000 4.726
Re Pt Rh Br
1 2 1 1
Direct
0.000 0.000 0.000 Re
0.000 0.500 0.000 Pt
0.500 0.000 0.000 Pt
0.500 0.500 0.500 Rh
0.000 0.000 0.500 Br
```

Values from the calculation:
Volume = 112 Å³ per cell
Total magnetic moment = 0.0 μB/cell
Space group = P4/mmm
E_form (uncorrected) = 723 kJ/mol of formula units

Record 5
Here is a geometry-optimized MnAgRh structure from the Alexandria database. Energies are from GGA-PBE.

```
MnAgRh
1.0
4.351 -1.362 0.000
4.351 1.362 0.000
-3.005 0.000 7.290
Mn Ag Rh
2 2 2
Direct
0.158 0.158 0.051 Mn
0.842 0.842 0.949 Mn
0.166 0.166 0.595 Ag
0.834 0.834 0.405 Ag
0.499 0.499 0.214 Rh
0.501 0.501 0.786 Rh
```

Values from the calculation:
Volume = 86 Å³ per cell
Total magnetic moment = 0.0 μB/cell
Space group = C2/m
Formation energy from the elements = 0.22 eV/atom
Excess energy over the best structure of this formula in the dataset = 0.178 eV per atom

Record 6
Here is a geometry-optimized Er2Ga4Ni3Rh structure from the Alexandria database. Energies are from GGA-PBE.

```
Er2Ga4Ni3Rh
1.0
4.034 0.000 0.000
0.000 4.034 0.000
0.000 0.000 10.175
Er Ga Ni Rh
2 4 3 1
Direct
0.000 0.500 0.246 Er
0.500 0.000 0.754 Er
0.000 0.000 0.000 Ga
0.000 0.500 0.636 Ga
0.500 0.000 0.364 Ga
0.500 0.500 0.000 Ga
0.000 0.500 0.867 Ni
0.500 0.000 0.133 Ni
0.500 0.500 0.500 Ni
0.000 0.000 0.500 Rh
```

Values from the calculation:
Volume = 166 Å³ per cell
Total magnetic moment = 0.0 μB/cell
Space group = P-4m2
Formation energy from the elements = -0.64 eV/atom

Record 7
Here is a geometry-optimized Mn3SiH structure from the Alexandria database. Energies are from GGA-PBE.

```
Mn3SiH
1.0
3.923 0.000 0.000
0.000 4.931 0.000
0.000 0.000 4.856
Mn Si H
6 2 2
Direct
0.000 0.042 0.000 Mn
0.000 0.437 0.619 Mn
0.000 0.563 0.119 Mn
0.000 0.958 0.500 Mn
0.500 0.322 0.262 Mn
0.500 0.678 0.762 Mn
0.500 0.184 0.757 Si
0.500 0.816 0.257 Si
0.000 0.255 0.297 H
0.000 0.745 0.797 H
```

Values from the calculation:
Volume = 94 Å³ per cell
Total magnetic moment = 2.9 μB/cell
Space group = Pmc2_1
Excess energy over the best structure of this formula in the dataset = 0.111 eV per atom

Record 8
Here is a geometry-optimized Ac5Y2Pb4 structure from the Alexandria database. Energies are from GGA-PBE.

```
Ac5Y2Pb4
1.0
14.254 -1.899 0.000
14.254 1.899 0.000
-0.302 0.000 7.980
Ac Y Pb
5 2 4
Direct
0.000 0.000 0.000 Ac
0.264 0.264 0.769 Ac
0.363 0.363 0.150 Ac
0.637 0.637 0.850 Ac
0.736 0.736 0.231 Ac
0.414 0.414 0.682 Y
0.586 0.586 0.318 Y
0.166 0.166 0.496 Pb
0.469 0.469 0.343 Pb
0.531 0.531 0.657 Pb
0.834 0.834 0.504 Pb
```

Values from the calculation:
Volume = 432 Å³ per cell
Total magnetic moment = 0.0 μB/cell
Space group = C2/m
Formation energy from the elements = -0.13 eV/atom